(1)
First-principles (PBE) data for Cs5Rb12Au3 after structural relaxation, as listed in Alexandria via LeMat-Bulk.

Properties
space group	No. 230
ΔE_f	73	meV/atom

abc: 21.818 21.818 21.818
angles: 109.47 109.47 109.47
Sites, in units of the cell vectors:
Cs  0.000  0.000  0.000
Cs  0.000  0.000  0.500
Cs  0.000  0.500  0.000
Cs  0.000  0.500  0.500
Cs  0.125  0.750  0.875
Cs  0.125  0.875  0.250
Cs  0.250  0.125  0.875
Cs  0.250  0.625  0.375
Cs  0.375  0.250  0.625
Cs  0.375  0.625  0.750
Cs  0.500  0.000  0.000
Cs  0.500  0.000  0.500
Cs  0.500  0.500  0.000
Cs  0.500  0.500  0.500
Cs  0.625  0.375  0.250
Cs  0.625  0.750  0.375
Cs  0.750  0.375  0.625
Cs  0.750  0.875  0.125
Cs  0.875  0.125  0.750
Cs  0.875  0.250  0.125
Rb  0.024  0.631  0.372
Rb  0.024  0.893  0.652
Rb  0.107  0.259  0.131
Rb  0.107  0.348  0.976
Rb  0.128  0.759  0.652
Rb  0.128  0.869  0.476
Rb  0.131  0.107  0.259
Rb  0.131  0.524  0.872
Rb  0.152  0.259  0.628
Rb  0.152  0.393  0.524
Rb  0.241  0.348  0.872
Rb  0.241  0.393  0.369
Rb  0.259  0.131  0.107
Rb  0.259  0.628  0.152
Rb  0.348  0.872  0.241
Rb  0.348  0.976  0.107
Rb  0.369  0.241  0.393
Rb  0.369  0.628  0.976
Rb  0.372  0.024  0.631
Rb  0.372  0.848  0.741
Rb  0.393  0.369  0.241
Rb  0.393  0.524  0.152
Rb  0.476  0.128  0.869
Rb  0.476  0.848  0.607
Rb  0.524  0.152  0.393
Rb  0.524  0.872  0.131
Rb  0.607  0.476  0.848
Rb  0.607  0.631  0.759
Rb  0.628  0.152  0.259
Rb  0.628  0.976  0.369
Rb  0.631  0.372  0.024
Rb  0.631  0.759  0.607
Rb  0.652  0.024  0.893
Rb  0.652  0.128  0.759
Rb  0.741  0.372  0.848
Rb  0.741  0.869  0.893
Rb  0.759  0.607  0.631
Rb  0.759  0.652  0.128
Rb  0.848  0.607  0.476
Rb  0.848  0.741  0.372
Rb  0.869  0.476  0.128
Rb  0.869  0.893  0.741
Rb  0.872  0.131  0.524
Rb  0.872  0.241  0.348
Rb  0.893  0.652  0.024
Rb  0.893  0.741  0.869
Rb  0.976  0.107  0.348
Rb  0.976  0.369  0.628
Au  0.125  0.250  0.375
Au  0.125  0.375  0.750
Au  0.250  0.375  0.125
Au  0.250  0.875  0.625
Au  0.375  0.125  0.250
Au  0.375  0.750  0.125
Au  0.625  0.250  0.875
Au  0.625  0.875  0.750
Au  0.750  0.125  0.375
Au  0.750  0.625  0.875
Au  0.875  0.625  0.250
Au  0.875  0.750  0.625

***

(2)
First-principles (PBE) data for Pr2GaAs after structural relaxation, as listed in Alexandria via LeMat-Bulk.

Properties
energy above the most stable polymorph in this dataset	13.395	kcal/mol of atoms
space group	No. 166
ΔE_f	-447	meV/atom

abc: 4.005 4.005 29.546
angles: 90.00 90.00 120.00
Sites, in units of the cell vectors:
Pr  0.000  0.000  0.107
Pr  0.000  0.000  0.893
Pr  0.333  0.667  0.560
Pr  0.333  0.667  0.773
Pr  0.667  0.333  0.227
Pr  0.667  0.333  0.440
Ga  0.000  0.000  0.000
Ga  0.333  0.667  0.667
Ga  0.667  0.333  0.333
As  0.000  0.000  0.500
As  0.333  0.667  0.167
As  0.667  0.333  0.833

***

(3)
First-principles (PBE) data for LiHgGe after structural relaxation, as listed in Alexandria via LeMat-Bulk.

Properties
energy above the most stable polymorph in this dataset	0.494	kcal/mol of atoms
space group	No. 10
ΔE_f	-130	meV/atom

abc: 6.033 3.004 6.379
angles: 90.00 90.06 90.00
Sites, in units of the cell vectors:
Li  0.226  0.000  0.000
Li  0.774  0.000  0.000
Hg  0.499  0.500  0.729
Hg  0.501  0.500  0.271
Ge  0.001  0.500  0.301
Ge  0.999  0.500  0.699

***

(4)
First-principles (PBE) data for CuPb2Au after structural relaxation, as listed in Alexandria via LeMat-Bulk.

Properties
energy above the most stable polymorph in this dataset	2.726	kcal/mol of atoms
space group	No. 12
ΔE_f	155	meV/atom

abc: 8.027 3.678 6.748
angles: 90.00 104.22 90.00
Sites, in units of the cell vectors:
Cu  0.000  0.000  0.000
Cu  0.500  0.500  0.000
Pb  0.245  0.500  0.232
Pb  0.255  0.000  0.768
Pb  0.745  0.000  0.232
Pb  0.755  0.500  0.768
Au  0.000  0.500  0.500
Au  0.500  0.000  0.500